Computed, not measured: an optimized crystal structure of Pr3SmPb3 at the PBE level of DFT.

Calculated values
V = 35.7 A^3/atom
DOS(E_F) = 10.788 states/eV/cell
energy relative to the elements = -299 meV per atom

a = 8.1494 Å, b = 8.1494 Å, c = 8.1928 Å
α = 89.47°, β = 89.47°, γ = 113.42°
Last column: nearest neighbours and their distance in Å.
Sites, in units of the cell vectors:
Pr 0.6322 0.6322 0.3673  1 Pb 3.14, 1 Pr 3.19
Pr 0.1548 0.8452 0.5000  6 Pb 3.18-3.34
Pr 0.8452 0.1548 0.5000  6 Pb 3.18-3.34
Pr 0.2224 0.7776 0.0000  4 Pb 3.26-3.47
Pr 0.7776 0.2224 0.0000  4 Pb 3.26-3.47
Pr 0.3678 0.3678 0.6327  1 Pb 3.14, 1 Pr 3.19
Sm 0.7084 0.7084 0.9153  4 Pb 3.04-3.21
Sm 0.2916 0.2916 0.0847  4 Pb 3.04-3.21
Pb 0.9500 0.9500 0.2001  5 Pr 3.14-3.47, 2 Sm 3.18-3.21, 1 Pb 3.38
Pb 0.8406 0.4923 0.6879  1 Sm 3.04, 3 Pr 3.18-3.34
Pb 0.4923 0.8406 0.6879  1 Sm 3.04, 3 Pr 3.18-3.34
Pb 0.1594 0.5077 0.3121  1 Sm 3.04, 3 Pr 3.18-3.34
Pb 0.5077 0.1594 0.3121  1 Sm 3.04, 3 Pr 3.18-3.34
Pb 0.0500 0.0500 0.7999  5 Pr 3.14-3.47, 2 Sm 3.18-3.21, 1 Pb 3.38